Computed, not measured: a relaxed Sr2MnPbO5 crystal at the PBE+U level of DFT.

Magnetization   3.38 μB per formula unit
Total DFT energy (no corrections)   -6.2492 eV per atom

abc: 3.3516 8.2761 9.6249
angles: 90.00 90.00 101.68
Last column: nearest neighbours and their distance in Å.
Fractional positions:
Pb (0.5161, 0.0321, 0.0082)  4 O 2.22-2.42
O (0.2807, 0.5613, 0.3747)  2 Mn 2.12
Mn (0.2269, 0.4539, 0.0082)  6 O 1.92-2.12
Sr (0.8657, 0.7313, 0.2198)  7 O 2.49-2.77
Sr (0.1344, 0.2687, 0.2966)  7 O 2.49-2.77
Mn (0.7731, 0.5461, 0.5082)  6 O 1.92-2.12
O (0.6545, 0.3090, 0.5082)  1 Mn 1.92
O (0.7194, 0.4388, 0.1417)  2 Mn 2.12
O (0.1060, 0.2120, 0.0083)  1 Mn 1.96
O (0.8940, 0.7880, 0.5083)  1 Mn 1.96
Sr (0.8656, 0.7313, 0.7966)  7 O 2.49-2.77
Pb (0.4839, 0.9679, 0.5082)  4 O 2.22-2.42
O (0.5000, 0.9999, 0.2583)  2 Pb 2.42
O (0.2806, 0.5612, 0.6417)  2 Mn 2.12
Sr (0.1343, 0.2687, 0.7198)  7 O 2.49-2.77
O (0.5000, 0.0001, 0.7583)  2 Pb 2.42
O (0.7193, 0.4387, 0.8747)  2 Mn 2.12
O (0.3455, 0.6910, 0.0082)  1 Mn 1.92